DFT (GGA+U) results for crystalline CoReO4 at its relaxed geometry.

Computed properties:
Total energy = -7.51 eV/atom
Relative energy among the computed polymorphs = 0.0 meV/atom

a b c (Å): 5.8438 5.8438 5.4771
angles (deg): 122.24 122.24 90.00
Last column: magnetic moment on the atom in μB.
Fractional positions:
Re  0.5000  0.5000  0.0000  -0.47
O  0.5768  0.4798  0.7143  0.00
O  0.7655  0.4232  0.2857  0.00
O  0.5202  0.8624  0.2857  0.00
Co  0.7500  0.2500  0.5000  2.46
O  0.1376  0.2345  0.7143  0.00